CsTbMnO3 PBE+U relaxed; M_tot = 10.00 μB per cell; calculated density = 5.19 g cm⁻³; total DFT energy (no corrections) = -6.88 eV per atom
1.0
3.601 0.000 0.000
0.000 7.200 -1.422
0.000 -4.213 10.580
Mn O Cs Tb
2 6 2 2
direct
0.750 0.007 0.402
0.250 0.993 0.598
0.250 0.525 0.905
0.750 0.952 0.209
0.750 0.475 0.095
0.250 0.831 0.383
0.750 0.169 0.617
0.250 0.048 0.791
0.250 0.318 0.238
0.750 0.682 0.762
0.250 0.706 0.137
0.750 0.294 0.863